1.
# SbHCl6 GGA-PBE optimized geometry
# space-group type: P-1 (2)
# total energy: -2.91 eV/atom
data_SbHCl6
_chemical_formula_sum 'Sb1 H1 Cl6'
_symmetry_space_group_name_H-M 'P 1'
_symmetry_Int_Tables_number 1
_cell_length_a 6.525
_cell_length_b 6.833
_cell_length_c 7.298
_cell_angle_alpha 87.06
_cell_angle_beta 64.03
_cell_angle_gamma 61.74
loop_
_symmetry_equiv_pos_as_xyz
'x,y,z'
loop_
_atom_site_label
_atom_site_type_symbol
_atom_site_fract_x
_atom_site_fract_y
_atom_site_fract_z
Sb1 Sb 0.000 0.000 0.000
H1 H 0.500 0.000 0.000
Cl1 Cl 0.121 0.224 0.765
Cl2 Cl 0.233 0.042 0.187
Cl3 Cl 0.392 0.670 0.770
Cl4 Cl 0.608 0.330 0.230
Cl5 Cl 0.767 0.958 0.813
Cl6 Cl 0.879 0.776 0.235

2.
# SbHCl5 GGA-PBE optimized geometry
# space-group type: P1 (1)
# total energy: -3.06 eV/atom
data_SbHCl5
_chemical_formula_sum 'Sb2 H2 Cl10'
_symmetry_space_group_name_H-M 'P 1'
_symmetry_Int_Tables_number 1
_cell_length_a 7.534
_cell_length_b 8.481
_cell_length_c 8.944
_cell_angle_alpha 87.15
_cell_angle_beta 68.42
_cell_angle_gamma 78.88
loop_
_symmetry_equiv_pos_as_xyz
'x,y,z'
loop_
_atom_site_label
_atom_site_type_symbol
_atom_site_fract_x
_atom_site_fract_y
_atom_site_fract_z
Sb1 Sb 0.000 0.000 0.000
Sb2 Sb 0.394 0.194 0.130
H1 H 0.390 0.714 0.638
H2 H 0.760 0.753 0.508
Cl1 Cl 0.097 0.250 0.350
Cl2 Cl 0.195 0.974 0.720
Cl3 Cl 0.244 0.300 0.943
Cl4 Cl 0.315 0.922 0.089
Cl5 Cl 0.497 0.435 0.148
Cl6 Cl 0.526 0.590 0.574
Cl7 Cl 0.563 0.051 0.290
Cl8 Cl 0.695 0.103 0.887
Cl9 Cl 0.875 0.857 0.479
Cl10 Cl 0.964 0.729 0.025